Compound: Pm5Er4Tm3
Source: Alexandria
Functional: GGA-PBE
Structure: optimized geometry

The structure in CIF format:
```
data_Pm5Er4Tm3
_space_group_name_H-M_alt 'C 1 2/m 1'
_space_group_IT_number 12
_space_group_name_Hall '-C 2y'
_cell_length_a 12.503
_cell_length_b 5.724
_cell_length_c 10.901
_cell_angle_alpha 90.00
_cell_angle_beta 96.26
_cell_angle_gamma 90.00
loop_
_atom_site_label
_atom_site_type_symbol
_atom_site_fract_x
_atom_site_fract_y
_atom_site_fract_z
_atom_site_occupancy
Pm1 Pm 0.000 0.000 0.000 1
Pm2 Pm 0.100 0.500 0.592 1
Pm3 Pm 0.145 0.500 0.268 1
Er1 Er 0.080 0.000 0.756 1
Er2 Er 0.149 0.000 0.450 1
Tm1 Tm 0.000 0.500 0.000 1
Tm2 Tm 0.244 0.500 0.893 1
```

Results
Size of the total moment (μB/f.u.): 0.2
V (A^3/atom): 32.310
DOS(E_F) (states/eV/atom): 1.39
Formation enthalpy at 0 K (eV/atom): 0.261
Density (g cm⁻³): 8.141